Here is a relaxed SrZr2Sb crystal from Alexandria. Energies are from PBEsol.

Summary:
- total energy (eV/atom) = -5.9839
- Fermi-level density of states (states/eV per cell) = 4.66
- space group = R-3m

Cell: 3.3931 3.3931 10.6927 Å, 80.87 80.87 60.00°
With the nearest neighbours (Å) after each atom.
Fractional positions:
Sb 0.5000 0.5000 0.5000  6 Zr 3.00
Sr 0.0000 0.0000 0.0000  6 Sr 3.39, 6 Zr 3.57
Zr 0.2385 0.2385 0.2845  3 Sb 3.00
Zr 0.7615 0.7615 0.7155  3 Sb 3.00